VASP calculation (PBE) on a relaxed Cs6Co3Br14 crystal.

a b c (Å): 7.085 12.793 12.793
angles (deg): 120.00 90.00 90.00
Fractional positions:
Br1 0.308 0.846 0.394
Br2 0.942 0.802 0.864
Cs1 0.268 0.909 0.702
Br3 0.942 0.136 0.938
Co1 0.829 0.000 0.000
Br4 0.702 0.488 0.272
Br5 0.494 0.000 0.000
Cs2 0.753 0.033 0.459
Cs3 0.753 0.541 0.574
Br6 0.984 0.333 0.667
Cs4 0.753 0.426 0.967
Co2 0.504 0.667 0.333
Br7 0.432 0.532 0.798
Cs5 0.268 0.792 0.091
Br8 0.432 0.266 0.468
Br9 0.702 0.784 0.512
Cs6 0.268 0.298 0.208
Br10 0.942 0.062 0.198
Br11 0.308 0.606 0.452
Br12 0.308 0.548 0.154
Br13 0.702 0.728 0.216
Br14 0.432 0.202 0.734
Co3 0.318 0.333 0.667

## Properties
Space-group type: P3
DOS(E_F), states/eV per cell: 23.510
Crystal system: trigonal
Formation energy without anion corrections, eV/atom: -1.1002
Total magnetization, μB/atom: 0.014


VASP calculation (PBE) on a relaxed Cs3CoBr6 crystal.

a b c (Å): 9.529 9.529 9.529
angles (deg): 89.56 89.56 89.56
Fractional positions:
Br1 0.066 0.908 0.769
Cs1 0.557 0.064 0.239
Co1 0.500 0.500 0.500
Br2 0.092 0.231 0.934
Br3 0.769 0.066 0.908
Cs2 0.064 0.239 0.557
Br4 0.231 0.934 0.092
Br5 0.446 0.253 0.547
Br6 0.554 0.747 0.453
Cs3 0.761 0.443 0.936
Br7 0.547 0.446 0.253
Br8 0.253 0.547 0.446
Br9 0.908 0.769 0.066
Cs4 0.936 0.761 0.443
Br10 0.934 0.092 0.231
Co2 0.000 0.000 0.000
Br11 0.453 0.554 0.747
Br12 0.747 0.453 0.554
Cs5 0.239 0.557 0.064
Cs6 0.443 0.936 0.761

## Properties
ΔE to the lowest computed polymorph, meV per atom: 11
Space-group type: R-3
Crystal system: trigonal
Formation energy without anion corrections, eV/atom: -1.1462
Total magnetization, μB/atom: 0.017


VASP calculation (PBE) on a relaxed CsCoBr2 crystal.

a b c (Å): 9.636 9.636 9.636
angles (deg): 24.70 24.70 24.70
Fractional positions:
Cs1 0.000 0.000 0.000
Br1 0.120 0.120 0.120
Co1 0.500 0.500 0.500
Br2 0.880 0.880 0.880

## Properties
ΔE to the lowest computed polymorph, meV per atom: 354
Space-group type: R-3m
DOS(E_F), states/eV per cell: 5.849
Crystal system: trigonal
Formation energy without anion corrections, eV/atom: -0.3373
Total magnetization, μB/atom: 0.568


VASP calculation (PBE) on a relaxed Cs2CoCuBr6 crystal.

a b c (Å): 7.707 7.707 7.931
angles (deg): 60.93 60.93 90.00
Fractional positions:
Br1 0.717 0.283 0.000
Co1 0.500 0.500 0.000
Cs1 0.250 0.750 0.500
Br2 0.199 0.199 0.602
Br3 0.283 0.717 0.000
Cs2 0.750 0.250 0.500
Br4 0.717 0.717 0.000
Br5 0.283 0.283 0.000
Br6 0.801 0.801 0.398
Cu1 0.000 0.000 0.000

## Properties
Space-group type: I4/mmm
DOS(E_F), states/eV per cell: 0.000
Crystal system: tetragonal
Formation energy without anion corrections, eV/atom: -0.8870
Total magnetization, μB/atom: 0.200


VASP calculation (PBE) on a relaxed CsCoCu2Br8 crystal.

a b c (Å): 6.299 6.299 10.678
angles (deg): 88.92 88.92 70.11
Fractional positions:
Co1 0.000 0.000 0.000
Cu1 0.359 0.359 0.818
Br1 0.775 0.235 0.835
Br2 0.765 0.225 0.165
Cu2 0.641 0.641 0.182
Br3 0.339 0.339 0.601
Br4 0.235 0.235 0.007
Br5 0.765 0.765 0.993
Br6 0.661 0.661 0.399
Cs1 0.000 0.000 0.500
Br7 0.225 0.765 0.165
Br8 0.235 0.775 0.835

## Properties
Space-group type: C2/m
DOS(E_F), states/eV per cell: 11.585
Crystal system: monoclinic
Formation energy without anion corrections, eV/atom: -0.5018
Total magnetization, μB/atom: 0.167


VASP calculation (PBE) on a relaxed Cs2CoCuBr6 crystal.

a b c (Å): 6.355 7.619 7.619
angles (deg): 120.00 90.00 90.00
Fractional positions:
Br1 0.273 0.848 0.152
Cs1 0.745 0.667 0.333
Cu1 0.000 0.000 0.000
Cs2 0.255 0.333 0.667
Co1 0.500 0.000 0.000
Br2 0.273 0.303 0.152
Br3 0.727 0.697 0.848
Br4 0.727 0.152 0.848
Br5 0.273 0.848 0.697
Br6 0.727 0.152 0.303

## Properties
Space-group type: P-3m1
DOS(E_F), states/eV per cell: 9.395
Crystal system: trigonal
Formation energy without anion corrections, eV/atom: -0.8878
Total magnetization, μB/atom: 0.026


VASP calculation (PBE) on a relaxed CsCoCu2Br crystal.

a b c (Å): 5.355 4.514 5.355
angles (deg): 90.00 90.00 90.00
Fractional positions:
Br1 0.000 0.000 0.000
Cu1 0.500 0.000 0.000
Cs1 0.500 0.500 0.500
Co1 0.000 0.500 0.000
Cu2 0.000 0.000 0.500

## Properties
Space-group type: P4/mmm
DOS(E_F), states/eV per cell: 3.796
Crystal system: tetragonal
Formation energy without anion corrections, eV/atom: 0.9491
Total magnetization, μB/atom: 0.228


VASP calculation (PBE) on a relaxed CsCoCuBr5 crystal.

a b c (Å): 8.178 8.178 9.057
angles (deg): 99.45 99.45 101.36
Fractional positions:
Br1 0.071 0.929 0.250
Br2 0.943 0.285 0.109
Br3 0.543 0.766 0.919
Cu1 0.000 0.000 0.000
Co1 0.719 0.281 0.250
Br4 0.715 0.057 0.391
Co2 0.281 0.719 0.750
Cu2 0.000 0.000 0.500
Cs1 0.360 0.640 0.250
Br5 0.766 0.543 0.419
Br6 0.457 0.234 0.081
Br7 0.057 0.715 0.891
Cs2 0.640 0.360 0.750
Br8 0.929 0.071 0.750
Br9 0.234 0.457 0.581
Br10 0.285 0.943 0.609

## Properties
Space-group type: C2/c
DOS(E_F), states/eV per cell: 12.661
Crystal system: monoclinic
Formation energy without anion corrections, eV/atom: -0.6782
Total magnetization, μB/atom: 0.487


- Number 1 is which compound?
  Cs6Co3Br14